Na2LaIn2Sn2 | the Alexandria database | PBE | optimized geometry; energy of formation = -297 meV per atom; SG = R-3m; final energy = -3.304 eV/atom
1.0
2.5225 1.4564 8.7548
-2.5225 1.4564 8.7548
0.0000 -2.9128 8.7548
Na La In Sn
2 1 2 2
Cartesian
0.0000 0.0000 3.7855 Na
0.0000 0.0000 22.4789 Na
0.0000 0.0000 0.0000 La
0.0000 0.0000 11.4117 In
0.0000 0.0000 14.8527 In
0.0000 0.0000 7.0513 Sn
0.0000 0.0000 19.2131 Sn

NaSrLaIn | the Alexandria database | PBE | optimized geometry; energy of formation = -183 meV per atom; SG = F-43m; final energy = -2.850 eV/atom
1.0
0.0000 4.0865 4.0865
4.0865 0.0000 4.0865
4.0865 4.0865 0.0000
Na Sr La In
1 1 1 1
Cartesian
0.0000 0.0000 0.0000 Na
6.1297 6.1297 6.1297 Sr
2.0432 2.0432 2.0432 La
4.0865 4.0865 4.0865 In